# Li3MnO2F2 | Alexandria | PBE with a Hubbard U | relaxed
data_Li3MnO2F2
_symmetry_space_group_name_H-M 'P 1'
_symmetry_Int_Tables_number 1
_symmetry_space_group_name_Hall 'P 1'
_cell_length_a 5.068
_cell_length_b 5.073
_cell_length_c 6.001
_cell_angle_alpha 90.00
_cell_angle_beta 90.00
_cell_angle_gamma 106.93
loop_
_atom_site_label
_atom_site_fract_x
_atom_site_fract_y
_atom_site_fract_z
Li1 0.250 0.000 0.888
Li2 0.750 0.000 0.112
Li3 0.250 0.000 0.361
Li4 0.750 0.000 0.639
Li5 0.250 0.500 0.633
Li6 0.750 0.500 0.367
Mn1 0.250 0.500 0.112
Mn2 0.750 0.500 0.888
O1 0.485 0.266 0.120
O2 0.015 0.734 0.120
O3 0.985 0.266 0.880
O4 0.515 0.734 0.880
F1 0.495 0.748 0.381
F2 0.995 0.748 0.619
F3 0.005 0.252 0.381
F4 0.505 0.252 0.619
# volume	9.2	Å³ per atom
# crystal system	monoclinic
# calculated density	3.3	g cm⁻³
# calculated total energy	-90.59	eV for the cell shown
# magnetic moment	4.0	μB per formula unit